Here is an optimized crystal structure of Ni3PbS from Alexandria via LeMat-Bulk. Energies are from PBE-GGA.

```
5
Lattice="-1.615 -1.834 4.104 0.990 -4.399 -1.576 4.385 0.318 1.867" Properties=species:S:1:pos:R:3 pbc="T T T"
Pb 0.000 0.000 0.000
Ni 0.495 -2.199 -0.788
Ni 2.192 0.159 0.934
Ni -0.807 -0.917 2.052
S 1.880 -2.957 2.198
```

**V**: 21.79 Å³/atom
**E above lowest polymorph**: 1.452 eV per atom
**Density of states at the Fermi level**: 5.22 states/eV/f.u.

=====

Here is an optimized crystal structure of NiPbS2 from Alexandria via LeMat-Bulk. Energies are from PBE-GGA.

```
8
Lattice="-5.022 4.496 -1.400 -2.434 -0.726 6.399 -1.762 4.403 3.533" Properties=species:S:1:pos:R:3 pbc="T T T"
Pb 0.000 0.000 0.000
Pb -5.256 5.392 2.316
Ni -3.728 1.885 2.499
Ni -3.962 2.781 6.216
S -3.422 3.406 0.937
S -3.052 1.622 4.579
S -4.342 4.649 5.113
S -7.622 6.668 6.435
```

**Electronic total energy**: -4.742 eV per atom
**V**: 19.90 Å³/atom
**Density of states at the Fermi level**: 2.10 states/eV/f.u.

=====

Here is an optimized crystal structure of Ni3Pb2S2 from Alexandria via LeMat-Bulk. Energies are from PBE-GGA.

```
14
Lattice="-4.325 4.615 3.024 4.125 -2.882 4.881 3.959 3.282 -4.764" Properties=species:S:1:pos:R:3 pbc="T T T"
Ni 1.926 0.861 4.004
Ni 0.058 0.439 1.978
Ni 3.953 2.151 -0.482
Ni 2.016 0.205 0.006
Ni -0.341 4.376 1.104
Ni -0.094 1.997 -0.330
Pb -2.213 3.122 5.430
Pb 6.058 -1.208 2.443
Pb 1.751 5.552 -3.199
Pb 1.922 2.564 1.605
S -0.225 1.001 4.040
S 4.162 0.116 0.200
S -0.068 4.044 -1.009
S 3.650 4.869 3.049
```

**V**: 18.94 Å³/atom
**E above lowest polymorph**: 0.000 eV per atom
**Density of states at the Fermi level**: 3.05 states/eV/f.u.

=====

Here is an optimized crystal structure of NiPbS3 from Alexandria via LeMat-Bulk. Energies are from PBE-GGA.

```
5
Lattice="4.561 0.000 0.000 0.000 4.561 0.000 0.000 0.000 4.561" Properties=species:S:1:pos:R:3 pbc="T T T"
Pb 2.281 2.281 2.281
Ni 0.000 0.000 0.000
S 0.000 2.281 0.000
S 0.000 0.000 2.281
S 2.281 0.000 0.000
```

**V**: 18.98 Å³/atom
**E above lowest polymorph**: 0.000 eV per atom
**Density of states at the Fermi level**: 4.71 states/eV/f.u.

=====

Here is an optimized crystal structure of TaNiPb2S from Alexandria via LeMat-Bulk. Energies are from PBE-GGA.

```
5
Lattice="5.069 0.000 0.000 0.000 4.727 0.000 0.000 0.000 5.069" Properties=species:S:1:pos:R:3 pbc="T T T"
Pb 0.000 0.000 2.535
Pb 2.535 0.000 0.000
Ni 0.000 0.000 0.000
S 2.535 2.364 2.535
Ta 0.000 2.364 0.000
```

**Electronic total energy**: -5.074 eV per atom
**V**: 24.30 Å³/atom
**Density of states at the Fermi level**: 4.33 states/eV/f.u.

=====

Here is an optimized crystal structure of UNi2Pb2S4 from Alexandria via LeMat-Bulk. Energies are from PBE-GGA.

```
9
Lattice="-2.786 -0.444 -2.427 4.768 -4.204 -4.702 -1.373 -4.541 5.259" Properties=species:S:1:pos:R:3 pbc="T T T"
U 0.000 0.000 0.000
Ni 2.327 -6.112 -4.405
Ni -1.718 -3.077 2.535
Pb 1.512 -3.396 -1.114
Pb -0.903 -5.793 -0.757
S -0.340 -2.466 0.841
S 0.949 -6.723 -2.711
S 2.133 -3.873 -4.592
S -1.524 -5.316 2.721
```

**Electronic total energy**: -5.855 eV per atom
**V**: 21.77 Å³/atom
**Density of states at the Fermi level**: 5.83 states/eV/f.u.

=====

Here is an optimized crystal structure of UNiPbS4 from Alexandria via LeMat-Bulk. Energies are from PBE-GGA.

```
14
Lattice="-5.241 3.663 -0.619 -1.056 -0.568 5.573 6.238 5.124 1.704" Properties=species:S:1:pos:R:3 pbc="T T T"
U -1.938 4.594 4.474
U 1.879 3.624 2.183
Ni 0.123 2.194 4.620
Ni -0.181 6.025 2.038
Pb 1.329 7.059 5.345
Pb -1.388 1.159 1.313
S 3.857 3.471 4.070
S -3.413 5.018 -0.065
S -3.916 4.747 2.588
S 3.355 3.200 6.722
S -2.113 1.913 4.168
S 2.054 6.305 2.490
S 0.680 4.255 4.936
S -0.738 3.963 1.722
```

**Electronic total energy**: -6.146 eV per atom
**V**: 20.70 Å³/atom
**Density of states at the Fermi level**: 5.27 states/eV/f.u.

=====

Here is an optimized crystal structure of U4Ni3PbS12 from Alexandria via LeMat-Bulk. Energies are from PBE-GGA.

```
20
Lattice="-3.753 7.314 -1.276 -5.011 -4.954 4.423 7.091 1.213 4.178" Properties=species:S:1:pos:R:3 pbc="T T T"
U -1.877 3.657 -0.638
U -0.837 1.787 3.662
U -2.506 -2.477 2.211
U 3.546 0.607 2.089
Ni 1.040 -1.870 4.300
Ni -4.382 1.180 1.573
Ni 1.669 4.264 1.451
Pb 0.000 0.000 0.000
S -4.261 -1.600 3.997
S 2.588 5.174 3.327
S -3.083 1.407 5.021
S -5.398 2.950 2.588
S -1.689 5.729 1.008
S -0.717 -0.836 3.283
S -2.307 2.117 1.479
S 0.016 -2.155 6.316
S 1.410 2.166 2.304
S 3.725 0.624 4.736
S -0.956 4.410 4.041
S 0.634 1.457 5.846
```

**Electronic total energy**: -6.608 eV per atom
**V**: 22.16 Å³/atom
**Density of states at the Fermi level**: 17.25 states/eV/f.u.